## Tb2PmPaN4 (PBE-GGA)

Data for Tb2PmPaN4 after structural relaxation.

The structure in extended XYZ format:
```
8
Lattice="6.0710 0.0000 0.0000 0.0000 3.5375 0.0000 -2.0122 0.0000 5.7658" Properties=species:S:1:pos:R:3 pbc="T T T"
Tb 0.0000 0.0000 0.0000
Tb -1.0061 1.7687 2.8829
Pm 2.0294 0.0000 2.8829
Pa 3.0355 1.7687 0.0000
N 1.0901 1.7687 1.3298
N 0.0283 0.0000 4.4155
N 4.0304 0.0000 1.3503
N 2.9687 1.7687 4.4360
```

formation energy (no corrections)	-1627	meV/atom
space group	P2/m, No. 10
magnetization	0.00	μB per cell
D(E_F)	0.46	states/eV per atom

## SmCuAg2S4 (PBE-GGA)

Data for SmCuAg2S4 after structural relaxation.

The structure in extended XYZ format:
```
16
Lattice="1.9543 -6.6195 0.0000 1.9543 6.6195 0.0000 0.0000 0.0000 12.4134" Properties=species:S:1:pos:R:3 pbc="T T T"
Sm 1.9543 5.4735 9.3100
Sm 1.9543 -5.4735 3.1033
Cu 1.9543 4.3133 3.1033
Cu 1.9543 -4.3133 9.3100
Ag 1.9543 1.6620 6.8854
Ag 1.9543 1.6620 11.7347
Ag 1.9543 -1.6620 0.6787
Ag 1.9543 -1.6620 5.5280
S 0.0000 0.0000 0.0000
S 0.0000 0.0000 6.2067
S 1.9543 2.5496 1.6128
S 1.9543 2.5496 4.5939
S 1.9543 0.9799 9.3100
S 1.9543 -0.9799 3.1033
S 1.9543 -2.5496 7.8195
S 1.9543 -2.5496 10.8006
```

formation energy (no corrections)	-597	meV/atom
space group	Cmcm, No. 63
magnetization	0.00	μB per cell
D(E_F)	0.45	states/eV per atom

## ErHfMg4 (PBE-GGA)

Data for ErHfMg4 after structural relaxation.

The structure in extended XYZ format:
```
6
Lattice="0.0000 4.1293 4.1293 4.1293 0.0000 4.1293 4.1293 4.1293 0.0000" Properties=species:S:1:pos:R:3 pbc="T T T"
Er 0.0000 0.0000 0.0000
Hf 2.0646 2.0646 2.0646
Mg 5.1562 3.1023 3.1023
Mg 3.1023 5.1562 3.1023
Mg 3.1023 3.1023 5.1562
Mg 5.1562 5.1562 5.1562
```

space group	F-43m, No. 216
magnetization	1.75	μB per cell
E_form	0.12	eV per atom
D(E_F)	1.24	states/eV per atom

## Li6Cd3Rh (PBE-GGA)

Data for Li6Cd3Rh after structural relaxation.

The structure in extended XYZ format:
```
20
Lattice="5.8804 3.3950 2.9736 -5.8804 3.3950 2.9736 0.0000 -6.7901 2.9736" Properties=species:S:1:pos:R:3 pbc="T T T"
Li -1.1901 -4.3578 3.3767
Li -1.9110 -1.8096 3.9652
Li -4.3690 -1.1483 5.5442
Li -3.1789 3.2095 3.3767
Li -2.5227 0.7502 4.9556
Li 0.6117 -2.5598 4.9556
Li -0.6116 2.5598 3.9652
Li 2.5227 -0.7502 3.9652
Li 3.1789 -3.2095 5.5442
Li 4.3690 1.1483 3.3767
Li 1.9110 1.8096 4.9556
Li 1.1901 4.3578 5.5442
Cd -1.7692 0.3836 2.2289
Cd 0.5524 -1.7240 2.2289
Cd 1.2168 1.3404 2.2289
Cd -1.2168 -1.3404 6.6919
Cd -0.5524 1.7240 6.6919
Cd 1.7692 -0.3836 6.6919
Rh 0.0000 0.0000 0.0000
Rh 0.0000 0.0000 4.4604
```

space group	R-3, No. 148
magnetization	0.00	μB per cell
E_form	-0.18	eV per atom
energy relative to the lowest polymorph listed for this composition	0.0	meV per atom
D(E_F)	0.37	states/eV per atom

## PaTcH3 (PBE-GGA)

Data for PaTcH3 after structural relaxation.

The structure in extended XYZ format:
```
5
Lattice="3.6690 0.0000 0.0000 0.0000 3.6690 0.0000 0.0000 0.0000 3.6690" Properties=species:S:1:pos:R:3 pbc="T T T"
Pa 0.0000 0.0000 0.0000
Tc 1.8345 1.8345 1.8345
H 0.0000 1.8345 1.8345
H 1.8345 0.0000 1.8345
H 1.8345 1.8345 0.0000
```

space group	Pm-3m, No. 221
magnetization	0.00	μB per cell
energy relative to the lowest polymorph listed for this composition	39.1	meV per atom
D(E_F)	0.74	states/eV per atom

## PmSbAuO (PBE-GGA)

Data for PmSbAuO after structural relaxation.

The structure in extended XYZ format:
```
8
Lattice="2.0097 1.1603 12.8351 -2.0097 1.1603 12.8351 0.0000 -2.3206 12.8351" Properties=species:S:1:pos:R:3 pbc="T T T"
Pm 0.0000 0.0000 4.9582
Pm 0.0000 0.0000 33.5470
Sb 0.0000 0.0000 11.9194
Sb 0.0000 0.0000 26.5857
Au 0.0000 0.0000 15.6153
Au 0.0000 0.0000 22.8898
O 0.0000 0.0000 7.3037
O 0.0000 0.0000 31.2015
```

formation energy (no corrections)	-1557	meV/atom
space group	R-3m, No. 166
magnetization	0.00	μB per cell
D(E_F)	0.21	states/eV per atom

> D(E_F) of number 1 (Tb2PmPaN4)?

0.46 states/eV per atom

> Which formula does entry 6 have?

PmSbAuO

Repeat the fourth record exactly.
## Li6Cd3Rh (PBE-GGA)

Data for Li6Cd3Rh after structural relaxation.

The structure in extended XYZ format:
```
20
Lattice="5.8804 3.3950 2.9736 -5.8804 3.3950 2.9736 0.0000 -6.7901 2.9736" Properties=species:S:1:pos:R:3 pbc="T T T"
Li -1.1901 -4.3578 3.3767
Li -1.9110 -1.8096 3.9652
Li -4.3690 -1.1483 5.5442
Li -3.1789 3.2095 3.3767
Li -2.5227 0.7502 4.9556
Li 0.6117 -2.5598 4.9556
Li -0.6116 2.5598 3.9652
Li 2.5227 -0.7502 3.9652
Li 3.1789 -3.2095 5.5442
Li 4.3690 1.1483 3.3767
Li 1.9110 1.8096 4.9556
Li 1.1901 4.3578 5.5442
Cd -1.7692 0.3836 2.2289
Cd 0.5524 -1.7240 2.2289
Cd 1.2168 1.3404 2.2289
Cd -1.2168 -1.3404 6.6919
Cd -0.5524 1.7240 6.6919
Cd 1.7692 -0.3836 6.6919
Rh 0.0000 0.0000 0.0000
Rh 0.0000 0.0000 4.4604
```

space group	R-3, No. 148
magnetization	0.00	μB per cell
E_form	-0.18	eV per atom
energy relative to the lowest polymorph listed for this composition	0.0	meV per atom
D(E_F)	0.37	states/eV per atom